! GGA-PBE Ac2Mg2Zn3, optimized geometry; values from VASP
&SYSTEM
  ibrav = 0, nat = 7, ntyp = 3
/
ATOMIC_SPECIES
Ac 227.00 Ac.upf
Mg 24.30 Mg.upf
Zn 65.41 Zn.upf
ATOMIC_POSITIONS angstrom
Ac 2.4026 3.3336 1.3533
Ac 0.0000 -0.7126 4.8549
Mg 2.4026 1.7841 4.5206
Mg 0.0000 0.8369 1.6876
Zn 2.4026 0.0000 0.0000
Zn 2.4026 -0.4506 2.5811
Zn 0.0000 3.0715 3.6271
CELL_PARAMETERS angstrom
4.8052 0.0000 0.0000
-2.4026 5.9193 -0.1593
0.0000 -3.2984 6.3675
! * Fermi-level density of states: 0.721 states/eV per atom
! * DFT formation energy: -18 kJ/mol of atoms

! GGA-PBE Tc2NiRu, optimized geometry; values from VASP
&SYSTEM
  ibrav = 0, nat = 4, ntyp = 3
/
ATOMIC_SPECIES
Ni 58.69 Ni.upf
Ru 101.07 Ru.upf
Tc 98.00 Tc.upf
ATOMIC_POSITIONS angstrom
Ni 4.2675 2.4639 1.7422
Ru 6.4013 3.6958 2.6133
Tc 0.0000 0.0000 0.0000
Tc 2.1338 1.2319 0.8711
CELL_PARAMETERS angstrom
4.2675 0.0000 0.0000
2.1338 3.6958 0.0000
2.1338 1.2319 3.4844
! * Fermi-level density of states: 1.019 states/eV per atom
! * DFT formation energy: 23 kJ/mol of atoms

! GGA-PBE SmEr3Tl2, optimized geometry; values from VASP
&SYSTEM
  ibrav = 0, nat = 12, ntyp = 3
/
ATOMIC_SPECIES
Sm 150.36 Sm.upf
Er 167.26 Er.upf
Tl 204.38 Tl.upf
ATOMIC_POSITIONS angstrom
Sm 0.0009 3.7288 0.0018
Sm 0.0000 0.0000 0.0000
Er 2.6989 1.8650 -0.0007
Er 2.6997 5.5938 0.0011
Er 2.6947 -1.8545 5.4150
Er -0.0012 1.8592 3.0230
Er -0.0003 5.5879 3.0247
Er 2.6956 1.8742 5.4168
Tl -0.0022 0.0062 5.8412
Tl 2.6956 -0.0016 2.5969
Tl -0.0012 3.7350 5.8429
Tl 2.6966 3.7272 2.5986
CELL_PARAMETERS angstrom
5.3969 0.0012 -0.0032
0.0017 7.4575 0.0035
-2.7042 -3.7254 8.4394
! * Fermi-level density of states: 1.253 states/eV per atom
! * DFT formation energy: -18 kJ/mol of atoms

| no. | distance to the lowest polymorph of the same formula (meV per atom) | total magnetization (μB per atom) |
| --- | --- | --- |
| 1 | 0 | 0.00 |
| 2 | 284 | 0.00 |
| 3 | 80 | 0.00 |